(1)
Here is a relaxed structure of CuSn2F2 from Alexandria. Energies are from PBE-GGA.

```
5
Lattice="-1.0204 3.2100 -1.2062 -1.9716 -1.5789 -2.5339 -6.6527 0.7090 2.2087" Properties=species:S:1:pos:R:3 pbc="T T T"
Sn -6.8933 1.5505 -0.6544
Sn -2.7514 0.7896 -0.8771
F -4.5845 2.3673 -0.4338
F -5.0601 -0.0272 -1.0977
Cu 0.0000 0.0000 0.0000
```

## Properties
formation energy from raw total energies	-1.00	eV per atom
crystal system	tetragonal

(2)
Here is a relaxed structure of LaInSb2Te from Alexandria. Energies are from PBE-GGA.

```
5
Lattice="6.0895 0.0000 0.0000 0.0000 6.0895 0.0000 0.0000 0.0000 6.1327" Properties=species:S:1:pos:R:3 pbc="T T T"
Te 0.0000 0.0000 3.0663
Sb 3.0448 0.0000 0.0000
Sb 0.0000 3.0448 0.0000
La 0.0000 0.0000 0.0000
In 3.0448 3.0448 3.0663
```

## Properties
formation energy from raw total energies	0.15	eV per atom
crystal system	tetragonal

(3)
Here is a relaxed structure of CdAsOs from Alexandria. Energies are from PBE-GGA.

```
3
Lattice="6.3571 0.0297 0.0000 4.8651 4.0920 0.0000 -5.6111 -2.0608 2.1638" Properties=species:S:1:pos:R:3 pbc="T T T"
As 0.4289 0.1575 0.0000
Cd 3.5140 1.2906 0.0000
Os 7.2793 2.6735 0.0000
```

## Properties
energy of formation from the pure elements	0.210	eV/atom
crystal system	tetragonal

| no. | mass density (g cm⁻³) | E (eV per atom) | total magnetization (Bohr magnetons per cell) |
| --- | --- | --- | --- |
| 1 | 6.69 | -4.17 | 0.00 |
| 2 | 4.56 | -3.66 | 0.00 |
| 3 | 11.20 | -5.39 | 0.00 |